Density functional theory data (PBE) for Tb2ErSc6 after structural relaxation.

CIF file:
```
data_Tb2ErSc6
_space_group_name_H-M_alt 'C 1 2/m 1'
_space_group_IT_number 12
_cell_length_a 15.918
_cell_length_b 9.191
_cell_length_c 3.277
_cell_angle_alpha 90.00
_cell_angle_beta 90.08
_cell_angle_gamma 90.00
loop_
_space_group_symop_operation_xyz
'x,y,z'
'-x,-y,-z'
'-x,y,-z'
'x,-y,z'
'x+1/2,y+1/2,z'
'-x+1/2,-y+1/2,-z'
'-x+1/2,y+1/2,-z'
'x+1/2,-y+1/2,z'
loop_
_atom_site_label
_atom_site_fract_x
_atom_site_fract_y
_atom_site_fract_z
Tb1 0.167 0.000 0.000
Er1 0.000 0.500 0.000
Sc1 0.000 0.168 0.500
Sc2 0.166 0.334 0.499
```

Properties
density	5229	kg/m³
ΔE_f	64	meV per atom
total energy	-102.5	eV/cell